## ThZr4Tl5 (PBE)

Data for a relaxed structure of ThZr4Tl5.

The space group is Pmmn (No. 59, origin choice 2) and the conventional cell measures 7.688, 9.536 and 7.173 Å, with angles of 90.00, 90.00 and 90.00 degrees. The distinct sites, in fractional coordinates, are Th at (0.250, 0.250, 0.029), Zr at (0.071, 0.750, 0.523), Zr at (0.250, 0.087, 0.507), Tl at (0.022, 0.526, 0.202) and Tl at (0.250, 0.750, 0.926).

As for the energy relative to the lowest polymorph listed for this composition: 1.51 eV/f.u. The density of states at the Fermi level comes out at 18.915 states/eV/cell. For the formation energy, the calculation gives 0.0911 eV per atom.

---

## ThZrTl (PBE)

Data for a relaxed structure of ThZrTl.

The space group is P-62m (No. 189) and the conventional cell measures 9.2935, 9.2935 and 3.2778 Å, with angles of 90.00, 90.00 and 120.00 degrees. The distinct sites, in fractional coordinates, are Th at (0.0000, 0.0000, 0.0000), Th at (0.3333, 0.6667, 0.5000), Zr at (0.0000, 0.6957, 0.5000) and Tl at (0.0000, 0.3588, 0.0000).

As for the energy relative to the lowest polymorph listed for this composition: 0.82 eV/f.u. The density of states at the Fermi level comes out at 12.464 states/eV/cell. For the formation energy, the calculation gives 0.2709 eV per atom.

---

## ThZr2Tl (PBE)

Data for a relaxed structure of ThZr2Tl.

The space group is P4/mmm (No. 123) and the conventional cell measures 4.798, 4.798 and 4.333 Å, with angles of 90.00, 90.00 and 90.00 degrees. The distinct sites, in fractional coordinates, are Th at (0.000, 0.000, 0.000), Zr at (0.000, 0.500, 0.500) and Tl at (0.500, 0.500, 0.000).

As for the energy relative to the lowest polymorph listed for this composition: 0.00 eV/f.u. The density of states at the Fermi level comes out at 5.205 states/eV/cell. For the formation energy, the calculation gives -0.0439 eV per atom.

---

## ThZr2Tl (PBE)

Data for a relaxed structure of ThZr2Tl.

The space group is F-43m (No. 216) and the conventional cell measures 7.428, 7.428 and 7.428 Å, with angles of 90.00, 90.00 and 90.00 degrees. The distinct sites, in fractional coordinates, are Th at (0.000, 0.000, 0.000), Zr at (0.000, 0.000, 0.500), Zr at (0.250, 0.250, 0.750) and Tl at (0.250, 0.250, 0.250).

As for the energy relative to the lowest polymorph listed for this composition: 0.66 eV/f.u. The density of states at the Fermi level comes out at 26.076 states/eV/cell. For the formation energy, the calculation gives 0.1204 eV per atom.

---

## ThZr4Tl5 (PBE)

Data for a relaxed structure of ThZr4Tl5.

The space group is P4/mmm (No. 123) and the conventional cell measures 3.287, 3.287 and 22.221 Å, with angles of 90.00, 90.00 and 90.00 degrees. The distinct sites, in fractional coordinates, are Th at (0.000, 0.000, 0.000), Zr at (0.000, 0.000, 0.210), Zr at (0.000, 0.000, 0.403), Tl at (0.500, 0.500, 0.113), Tl at (0.500, 0.500, 0.307) and Tl at (0.500, 0.500, 0.500).

As for the energy relative to the lowest polymorph listed for this composition: 0.00 eV/f.u. The density of states at the Fermi level comes out at 8.646 states/eV/cell. For the formation energy, the calculation gives -0.0597 eV per atom.

---

## ThZrTl (PBE)

Data for a relaxed structure of ThZrTl.

The space group is P-6m2 (No. 187) and the conventional cell measures 5.3230, 5.3230 and 3.3450 Å, with angles of 90.00, 90.00 and 120.00 degrees. The distinct sites, in fractional coordinates, are Th at (0.0000, 0.0000, 0.0000), Zr at (0.3333, 0.6667, 0.5000) and Tl at (0.6667, 0.3333, 0.5000).

As for the energy relative to the lowest polymorph listed for this composition: 0.37 eV/f.u. The density of states at the Fermi level comes out at 4.327 states/eV/cell. For the formation energy, the calculation gives 0.1185 eV per atom.